Record 1
# Tm4CdAgIr2, relaxed, DFT PBE
# Energy   -133.04 eV for the cell shown
data_Tm4CdAgIr2
_cell_length_a 4.9381
_cell_length_b 4.9381
_cell_length_c 24.2005
_cell_angle_alpha 90.00
_cell_angle_beta 90.00
_cell_angle_gamma 120.00
_symmetry_space_group_name_H-M 'R -3 m'
_symmetry_Int_Tables_number 166
_symmetry_space_group_name_Hall '-R 3 2"'
loop_
_atom_site_label
_atom_site_type_symbol
_atom_site_fract_x
_atom_site_fract_y
_atom_site_fract_z
Tm1 Tm 0.0000 0.0000 0.1230
Tm2 Tm 0.0000 0.0000 0.3733
Cd1 Cd 0.0000 0.0000 0.5000
Ag1 Ag 0.0000 0.0000 0.0000
Ir1 Ir 0.0000 0.0000 0.2496

=====

Record 2
# K2TaSb, relaxed, DFT PBE
# Formation energy without anion corrections   0.748 eV per atom
data_K2TaSb
_cell_length_a 3.9936
_cell_length_b 4.6570
_cell_length_c 12.1747
_cell_angle_alpha 90.00
_cell_angle_beta 90.00
_cell_angle_gamma 90.00
_symmetry_space_group_name_H-M 'C m m m'
_symmetry_Int_Tables_number 65
_symmetry_space_group_name_Hall '-C 2 2'
loop_
_atom_site_label
_atom_site_type_symbol
_atom_site_fract_x
_atom_site_fract_y
_atom_site_fract_z
K1 K 0.0000 0.0000 0.2379
Ta1 Ta 0.0000 0.5000 0.5000
Sb1 Sb 0.0000 0.5000 0.0000

=====

Record 3
# CeTmGa, relaxed, DFT PBE
# Polymorph energy (0 for the lowest one)   0.097 eV/atom
data_CeTmGa
_cell_length_a 4.9679
_cell_length_b 4.9679
_cell_length_c 3.5817
_cell_angle_alpha 90.00
_cell_angle_beta 90.00
_cell_angle_gamma 120.00
_symmetry_space_group_name_H-M 'P 3 m 1'
_symmetry_Int_Tables_number 156
loop_
_symmetry_equiv_pos_as_xyz
'x,y,z'
'-y,x-y,z'
'-x+y,-x,z'
'-y,-x,z'
'-x+y,y,z'
'x,x-y,z'
loop_
_atom_site_label
_atom_site_type_symbol
_atom_site_fract_x
_atom_site_fract_y
_atom_site_fract_z
Ce1 Ce 0.0000 0.0000 0.0000
Tm1 Tm 0.6667 0.3333 0.4418
Ga1 Ga 0.3333 0.6667 0.6352

=====

Record 4
# ErTe2Pd7, relaxed, DFT PBE
# Formation energy without anion corrections   -0.525 eV per atom
data_ErTe2Pd7
_cell_length_a 4.1763
_cell_length_b 4.1763
_cell_length_c 21.9087
_cell_angle_alpha 90.00
_cell_angle_beta 90.00
_cell_angle_gamma 90.00
_symmetry_space_group_name_H-M 'I 4/m m m'
_symmetry_Int_Tables_number 139
_symmetry_space_group_name_Hall '-I 4 2'
loop_
_atom_site_label
_atom_site_type_symbol
_atom_site_fract_x
_atom_site_fract_y
_atom_site_fract_z
Er1 Er 0.0000 0.0000 0.0000
Te1 Te 0.0000 0.0000 0.3298
Pd1 Pd 0.0000 0.0000 0.5000
Pd2 Pd 0.0000 0.5000 0.0918
Pd3 Pd 0.0000 0.5000 0.2500

=====

Record 5
# Ti2VPb2, relaxed, DFT PBE
# Energy   -61.72 eV for the cell shown
data_Ti2VPb2
_cell_length_a 7.3431
_cell_length_b 7.3431
_cell_length_c 3.7960
_cell_angle_alpha 90.00
_cell_angle_beta 90.00
_cell_angle_gamma 90.00
_symmetry_space_group_name_H-M 'P 4/m b m'
_symmetry_Int_Tables_number 127
_symmetry_space_group_name_Hall '-P 4 2ab'
loop_
_atom_site_label
_atom_site_type_symbol
_atom_site_fract_x
_atom_site_fract_y
_atom_site_fract_z
Ti1 Ti 0.1550 0.3450 0.0000
V1 V 0.0000 0.0000 0.5000
Pb1 Pb 0.1484 0.6484 0.5000

=====

Record 6
# CdSiAu2, relaxed, DFT PBE
# Polymorph energy (0 for the lowest one)   0.115 eV/atom
# Formation energy without anion corrections   0.117 eV per atom
data_CdSiAu2
_cell_length_a 7.0526
_cell_length_b 6.8765
_cell_length_c 3.0595
_cell_angle_alpha 90.00
_cell_angle_beta 90.99
_cell_angle_gamma 90.00
_symmetry_space_group_name_H-M 'C 1 2/m 1'
_symmetry_Int_Tables_number 12
loop_
_symmetry_equiv_pos_as_xyz
'x,y,z'
'-x,-y,-z'
'-x,y,-z'
'x,-y,z'
'x+1/2,y+1/2,z'
'-x+1/2,-y+1/2,-z'
'-x+1/2,y+1/2,-z'
'x+1/2,-y+1/2,z'
loop_
_atom_site_label
_atom_site_type_symbol
_atom_site_fract_x
_atom_site_fract_y
_atom_site_fract_z
Cd1 Cd 0.0000 0.0000 0.0000
Si1 Si 0.0000 0.5000 0.0000
Au1 Au 0.2500 0.2500 0.5000

=====

Record 7
# SrTiP2Os, relaxed, DFT PBE
# Energy   -71.87 eV for the cell shown
data_SrTiP2Os
_cell_length_a 3.9065
_cell_length_b 3.9065
_cell_length_c 12.6346
_cell_angle_alpha 90.00
_cell_angle_beta 90.00
_cell_angle_gamma 90.00
_symmetry_space_group_name_H-M 'I -4 m 2'
_symmetry_Int_Tables_number 119
_symmetry_space_group_name_Hall 'I -4 -2'
loop_
_atom_site_label
_atom_site_type_symbol
_atom_site_fract_x
_atom_site_fract_y
_atom_site_fract_z
Sr1 Sr 0.0000 0.0000 0.0000
Ti1 Ti 0.0000 0.5000 0.2500
P1 P 0.0000 0.0000 0.3656
Os1 Os 0.0000 0.5000 0.7500

=====

Record 8
# Ti2VSn, relaxed, DFT PBE
# Energy   -29.77 eV for the cell shown
data_Ti2VSn
_cell_length_a 3.3361
_cell_length_b 3.3361
_cell_length_c 6.1343
_cell_angle_alpha 90.00
_cell_angle_beta 90.00
_cell_angle_gamma 90.00
_symmetry_space_group_name_H-M 'P 4/m m m'
_symmetry_Int_Tables_number 123
_symmetry_space_group_name_Hall '-P 4 2'
loop_
_atom_site_label
_atom_site_type_symbol
_atom_site_fract_x
_atom_site_fract_y
_atom_site_fract_z
Ti1 Ti 0.0000 0.0000 0.2235
V1 V 0.5000 0.5000 0.0000
Sn1 Sn 0.5000 0.5000 0.5000

=====

Record 9
# MgNiRh3, relaxed, DFT PBE
# Polymorph energy (0 for the lowest one)   0.000 eV/atom
data_MgNiRh3
_cell_length_a 4.5012
_cell_length_b 4.5012
_cell_length_c 4.5012
_cell_angle_alpha 90.00
_cell_angle_beta 90.00
_cell_angle_gamma 90.00
_symmetry_space_group_name_H-M 'P m -3 m'
_symmetry_Int_Tables_number 221
_symmetry_space_group_name_Hall '-P 4 2 3'
loop_
_atom_site_label
_atom_site_type_symbol
_atom_site_fract_x
_atom_site_fract_y
_atom_site_fract_z
Mg1 Mg 0.0000 0.0000 0.0000
Ni1 Ni 0.5000 0.5000 0.5000
Rh1 Rh 0.0000 0.5000 0.5000

=====

Record 10
# ErZn2Au, relaxed, DFT PBE
# Energy   -11.94 eV for the cell shown
data_ErZn2Au
_cell_length_a 4.1864
_cell_length_b 4.1864
_cell_length_c 4.4584
_cell_angle_alpha 90.00
_cell_angle_beta 90.00
_cell_angle_gamma 90.00
_symmetry_space_group_name_H-M 'P 4/m m m'
_symmetry_Int_Tables_number 123
_symmetry_space_group_name_Hall '-P 4 2'
loop_
_atom_site_label
_atom_site_type_symbol
_atom_site_fract_x
_atom_site_fract_y
_atom_site_fract_z
Er1 Er 0.0000 0.0000 0.0000
Zn1 Zn 0.0000 0.5000 0.5000
Au1 Au 0.5000 0.5000 0.0000

=====

Record 11
# RbMgZnCd2, relaxed, DFT PBE
# Energy   -5.14 eV for the cell shown
data_RbMgZnCd2
_cell_length_a 5.3857
_cell_length_b 5.3857
_cell_length_c 5.2327
_cell_angle_alpha 90.00
_cell_angle_beta 90.00
_cell_angle_gamma 90.00
_symmetry_space_group_name_H-M 'P 4/m m m'
_symmetry_Int_Tables_number 123
_symmetry_space_group_name_Hall '-P 4 2'
loop_
_atom_site_label
_atom_site_type_symbol
_atom_site_fract_x
_atom_site_fract_y
_atom_site_fract_z
Rb1 Rb 0.0000 0.0000 0.0000
Mg1 Mg 0.5000 0.5000 0.0000
Zn1 Zn 0.5000 0.5000 0.5000
Cd1 Cd 0.0000 0.5000 0.5000

=====

Record 12
# Na5B7C3, relaxed, DFT PBE
# Polymorph energy (0 for the lowest one)   0.043 eV/atom
data_Na5B7C3
_cell_length_a 2.8939
_cell_length_b 2.8939
_cell_length_c 42.7113
_cell_angle_alpha 90.00
_cell_angle_beta 90.00
_cell_angle_gamma 120.00
_symmetry_space_group_name_H-M 'P 63/m m c'
_symmetry_Int_Tables_number 194
_symmetry_space_group_name_Hall '-P 6c 2c'
loop_
_atom_site_label
_atom_site_type_symbol
_atom_site_fract_x
_atom_site_fract_y
_atom_site_fract_z
Na1 Na 0.0000 0.0000 0.0000
Na2 Na 0.0000 0.0000 0.1021
Na3 Na 0.0000 0.0000 0.2008
B1 B 0.3333 0.6667 0.0513
B2 B 0.3333 0.6667 0.1517
B3 B 0.3333 0.6667 0.5513
B4 B 0.3333 0.6667 0.7500
C1 C 0.3333 0.6667 0.2500
C2 C 0.3333 0.6667 0.6518

=====

| no. | M_tot (μB/cell) |
| --- | --- |
| 1 | 0.00 |
| 2 | 0.85 |
| 3 | 1.07 |
| 4 | 0.00 |
| 5 | 2.03 |
| 6 | 0.00 |
| 7 | 0.00 |
| 8 | 0.00 |
| 9 | 3.35 |
| 10 | 0.00 |
| 11 | 0.00 |
| 12 | 0.00 |